# Sm2Dy7Cd2 | Alexandria via LeMat-Bulk | PBE-GGA | relaxed
# Total magnetization (μB per formula unit): 0.00
# Mass density (g/cm3): 8.206
# Total DFT energy (no corrections) (eV per atom): -3.86
data_Sm2Dy7Cd2
_symmetry_space_group_name_H-M 'C 1 2/m 1'
_symmetry_Int_Tables_number 12
_cell_length_a 9.6139
_cell_length_b 11.6042
_cell_length_c 6.5901
_cell_angle_alpha 90.00
_cell_angle_beta 113.72
_cell_angle_gamma 90.00
loop_
_symmetry_equiv_pos_as_xyz
'x,y,z'
'-x,-y,-z'
'-x,y,-z'
'x,-y,z'
'x+1/2,y+1/2,z'
'-x+1/2,-y+1/2,-z'
'-x+1/2,y+1/2,-z'
'x+1/2,-y+1/2,z'
loop_
_atom_site_label
_atom_site_type_symbol
_atom_site_fract_x
_atom_site_fract_y
_atom_site_fract_z
Sm1 Sm 0.0000 0.1394 0.0000
Dy1 Dy 0.0000 0.0000 0.5000
Dy2 Dy 0.1570 0.5000 0.9595
Dy3 Dy 0.1797 0.2450 0.6973
Cd1 Cd 0.1632 0.5000 0.4713